# Zr2GaH3 | the Alexandria database | PBE | optimized geometry
data_Zr2GaH3
_chemical_formula_sum 'Zr8 Ga4 H12'
_cell_length_a 13.093
_cell_length_b 3.562
_cell_length_c 6.673
_cell_angle_alpha 90.00
_cell_angle_beta 115.45
_cell_angle_gamma 90.00
_space_group_name_H-M_alt 'C 1 2/m 1'
_space_group_IT_number 12
_space_group_name_Hall '-C 2y'
loop_
_atom_site_label
_atom_site_type_symbol
_atom_site_fract_x
_atom_site_fract_y
_atom_site_fract_z
Zr1 Zr 0.028 0.000 0.278
Zr2 Zr 0.209 0.500 0.710
Ga1 Ga 0.118 0.500 0.038
H1 H 0.071 0.500 0.426
H2 H 0.104 0.000 0.638
H3 H 0.197 0.000 0.485
# ρ	6.0	Mg/m³
# size of the total moment	0.0	μB per formula unit
# calculated volume	11.7	Å³ per atom
# total DFT energy (no corrections)	-5.50	eV per atom